Below is MnTeF3 after structural relaxation, with properties calculated at the PBE+U level.

Lattice parameters (Å, degrees): 4.6775 4.6775 4.6775 90.00 90.00 90.00
Closest atoms and distances in Å follow each position.
Space group Pm-3m (No. 221)
Asymmetric unit:
Mn 0.0000 0.0000 0.0000 x1  12 F 3.31
Te 0.5000 0.5000 0.5000 x1  6 F 2.34
F 0.0000 0.5000 0.5000 x3  2 Te 2.34

Its total magnetization is 5.36 μB/cell. For the energy above the most stable polymorph in this dataset, the calculation gives 297 kJ/mol of formula units. The calculation puts the energy at -20.8 eV per cell.